Compound: AcLa2PrSm5
Source: Alexandria
Functional: PBE-GGA
Structure: relaxed

Calculated values
Magnetization = 0.0 μB per formula unit
Calculated formation energy = 0.244 eV per atom
Calculated volume = 36.19 Å³ per atom
Space group = I4/mcm

Structure (extended XYZ):
```
18
Lattice="-7.117 3.669 4.017 -5.404 -5.533 -4.522 6.831 -4.518 6.240" Properties=species:S:1:pos:R:3 pbc="T T T"
La -9.620 -0.168 0.763
La -5.016 1.617 1.950
La -7.505 -3.481 -2.454
La -2.901 -1.695 -1.267
Sm -6.967 -0.177 3.492
Sm -0.446 -1.734 6.478
Sm -5.245 -4.649 -0.743
Sm 0.000 0.000 0.000
Sm 1.276 -6.206 2.243
Sm -6.261 -0.932 -0.252
Sm 3.486 -3.186 4.782
Sm -2.656 -4.754 3.940
Sm -3.035 -1.629 1.796
Sm -9.177 -3.197 0.954
Ac -3.274 -0.891 5.003
Ac -2.417 -5.491 0.733
Pr 0.285 -2.725 2.994
Pr -5.975 -3.657 2.742
```



Compound: K4Rb2Ba2Sr
Source: Alexandria
Functional: PBE-GGA
Structure: relaxed

Calculated values
Magnetization = 0.0 μB per formula unit
Calculated formation energy = 0.049 eV per atom
Calculated volume = 71.31 Å³ per atom
Space group = P3m1

Structure (extended XYZ):
```
9
Lattice="-2.549 -3.497 1.457 0.786 0.548 -4.465 29.157 -20.147 2.658" Properties=species:S:1:pos:R:3 pbc="T T T"
Rb 28.773 -19.882 2.623
Rb 17.477 -15.219 1.208
Ba 10.899 -10.673 0.608
Ba 5.095 -6.663 0.079
K 1.571 -4.228 -0.242
K 15.501 -10.711 1.413
K 23.993 -19.721 1.802
K 22.278 -15.394 2.031
Sr 9.426 -6.514 0.859
```



Compound: FeMoCl3
Source: Alexandria
Functional: PBE-GGA
Structure: relaxed

Calculated values
Magnetization = 5.0 μB per formula unit
Formation energy from raw total energies = 50.8 kJ/mol of atoms
Calculated volume = 20.27 Å³ per atom
Space group = Pm-3m

Structure (extended XYZ):
```
5
Lattice="-3.459 -1.669 -2.643 3.065 -2.588 -2.376 -0.616 -3.500 3.018" Properties=species:S:1:pos:R:3 pbc="T T T"
Cl -1.729 -0.835 -1.321
Cl 1.532 -1.294 -1.188
Cl -0.308 -1.750 1.509
Fe 0.000 0.000 0.000
Mo -0.505 -3.879 -1.001
```



Compound: LiCuNi2
Source: Alexandria
Functional: PBE-GGA
Structure: relaxed

Calculated values
Magnetization = 0.3 μB per formula unit
Calculated formation energy = -0.020 eV per atom
Calculated volume = 11.25 Å³ per atom
Space group = Pmm2

Structure (extended XYZ):
```
4
Lattice="4.152 0.000 0.000 0.000 2.493 -0.242 0.000 0.418 4.307" Properties=species:S:1:pos:R:3 pbc="T T T"
Ni 0.000 2.207 0.069
Ni 2.076 1.010 0.707
Li 2.076 2.472 2.778
Cu 0.000 1.169 2.304
```



Compound: PrNdScAg
Source: Alexandria
Functional: PBE-GGA
Structure: relaxed

Calculated values
Magnetization = 0.0 μB per formula unit
Calculated formation energy = 0.044 eV per atom
Calculated volume = 28.09 Å³ per atom
Space group = F-43m

Structure (extended XYZ):
```
4
Lattice="5.416 0.000 0.000 2.708 4.691 0.000 2.708 1.564 4.422" Properties=species:S:1:pos:R:3 pbc="T T T"
Ag 2.708 1.564 1.106
Sc 8.125 4.691 3.317
Pr 5.416 3.127 2.211
Nd 0.000 0.000 0.000
```



Compound: TcNiB
Source: Alexandria
Functional: PBE-GGA
Structure: relaxed

Calculated values
Magnetization = 0.0 μB per formula unit
Calculated formation energy = -0.298 eV per atom
Excess energy over the best structure of this formula in the dataset = 0.000 eV/atom
Calculated volume = 10.20 Å³ per atom
Space group = C2/m

Structure (extended XYZ):
```
12
Lattice="5.878 0.000 0.005 0.000 3.078 0.000 -4.977 0.000 6.761" Properties=species:S:1:pos:R:3 pbc="T T T"
Ni 1.271 0.000 5.538
Ni -2.859 1.539 4.608
Ni -0.371 0.000 1.228
Ni 3.760 1.539 2.157
Tc -0.820 0.000 3.941
Tc 1.721 0.000 2.825
Tc 1.668 1.539 0.560
Tc -0.768 1.539 6.205
B 3.301 0.000 0.888
B 0.088 1.539 2.497
B -2.400 0.000 5.877
B 0.812 1.539 4.269
```



Compound: LiY2Sb
Source: Alexandria
Functional: PBE-GGA
Structure: relaxed

Calculated values
Magnetization = 0.8 μB per formula unit
Formation energy from raw total energies = -18.7 kJ/mol of atoms
Calculated volume = 27.54 Å³ per atom
Space group = I-42d

Structure (extended XYZ):
```
8
Lattice="8.202 0.000 0.000 0.000 8.202 0.000 4.101 4.101 3.275" Properties=species:S:1:pos:R:3 pbc="T T T"
Y 2.086 6.151 0.819
Y 6.151 6.186 2.456
Y 10.252 10.217 2.456
Y 6.116 2.050 0.819
Sb 0.000 0.000 0.000
Sb 8.202 4.101 1.637
Li 4.101 8.202 1.637
Li 4.101 4.101 0.000
```



Compound: NdY2
Source: Alexandria
Functional: PBE-GGA
Structure: relaxed

Calculated values
Magnetization = 0.0 μB per formula unit
Calculated formation energy = 0.020 eV per atom
Excess energy over the best structure of this formula in the dataset = 0.030 eV/atom
Calculated volume = 33.25 Å³ per atom
Space group = I4/mmm

Structure (extended XYZ):
```
3
Lattice="3.608 0.000 0.000 0.000 3.608 0.000 -1.804 -1.804 7.660" Properties=species:S:1:pos:R:3 pbc="T T T"
Y 1.804 1.804 2.566
Y 0.000 0.000 5.094
Nd 0.000 0.000 0.000
```



Compound: PmPr12Nd7
Source: Alexandria
Functional: PBE-GGA
Structure: relaxed

Calculated values
Magnetization = 0.0 μB per formula unit
Calculated formation energy = 0.204 eV per atom
Excess energy over the best structure of this formula in the dataset = 0.000 eV/atom
Calculated volume = 36.27 Å³ per atom
Space group = R-3

Structure (extended XYZ):
```
20
Lattice="1.237 -3.424 8.222 8.482 -2.324 -1.871 3.191 7.798 3.140" Properties=species:S:1:pos:R:3 pbc="T T T"
Nd 5.906 6.037 2.180
Nd 4.919 5.277 8.146
Nd 10.583 2.284 1.088
Nd 7.004 -3.986 7.311
Nd 7.991 -3.226 1.345
Nd 6.455 1.025 4.745
Nd 2.327 -0.233 8.403
Pr 8.532 3.402 7.062
Pr 8.445 -0.078 7.932
Pr 4.735 4.175 4.866
Pr 8.268 3.731 3.233
Pr 4.465 2.128 1.559
Pr 5.089 1.814 7.971
Pr 2.555 1.034 4.392
Pr 4.378 -1.352 2.428
Pr 10.355 1.016 5.098
Pr 7.821 0.237 1.519
Pr 8.175 -2.125 4.625
Pr 4.642 -1.680 6.258
Pm 0.000 0.000 0.000
```